(1)
GGA-PBE LaRe2Rh, relaxed; spin magnetization = 0.000 μB/atom; formation energy from the elements = 410 meV/atom; volume = 18.38 Å³/atom; DFT total energy = -8.88 eV per atom
1.0
-0.704 -3.069 -0.077
0.347 0.033 -4.486
5.042 -1.166 0.381
La Rh Re
1 1 2
direct
0.000 0.500 0.500 La
0.500 0.000 0.500 Rh
0.000 0.000 0.000 Re
0.500 0.500 0.000 Re



(2)
GGA-PBE LaReRh, relaxed; spin magnetization = 0.000 μB/atom; formation energy from the elements = 465 meV/atom; volume = 18.78 Å³/atom; DFT total energy = -7.78 eV per atom
1.0
1.339 0.628 -2.514
-2.913 0.050 0.153
0.229 7.384 1.966
La Re Rh
1 1 1
direct
0.000 0.000 0.996 La
0.667 0.333 0.370 Re
0.333 0.667 0.634 Rh